# BaSr2SnS4

An optimized crystal structure of BaSr2SnS4 (PBE, the Alexandria database).

Unit cell a=8.667 b=8.667 c=8.668 alpha=120.00 beta=120.00 gamma=89.95
Fractional positions:
Sr (0.000, 0.000, 0.500)
S (0.255, 0.245, 0.499)
Sn (0.500, 0.500, 0.500)
S (0.745, 0.755, 0.999)
S (0.740, 0.239, 0.989)
S (0.260, 0.761, 0.011)
S (0.745, 0.755, 0.501)
Sr (0.500, 0.000, 0.000)
S (0.739, 0.240, 0.489)
S (0.255, 0.245, 0.001)
S (0.261, 0.760, 0.511)
Ba (0.000, 0.500, 0.000)
Sr (0.500, 0.500, 0.000)
Ba (0.000, 0.500, 0.500)
Sr (0.500, 0.000, 0.500)
Sn (0.000, 0.000, 0.000)

Calculated values
**E_form (uncorrected)**: -1.663 eV/atom
**Size of the total moment**: 0.00 μB per formula unit
**VASP energy**: -4.89 eV/atom